Record 1
Ba2La4As3N2 (PBE, relaxed); formation energy (no corrections) = -1324 kJ/mol of formula units; calculated volume = 28.6 Å³ per atom; final energy = -6.171 eV/atom
1.0
4.9250 0.0000 0.0000
0.0000 4.9250 0.0000
-2.4625 -2.4625 12.9803
Ba As N La
2 3 2 4
direct
0.6982 0.6982 0.3964
0.3018 0.3018 0.6036
0.1655 0.1655 0.3309
0.0000 0.0000 0.0000
0.8345 0.8345 0.6691
0.5941 0.5941 0.1883
0.4059 0.4059 0.8117
0.4198 0.9198 0.8397
0.0802 0.5802 0.1603
0.5802 0.0802 0.1603
0.9198 0.4198 0.8397

---

Record 2
AcTb2N (PBE, relaxed); formation energy (no corrections) = -17 kJ/mol of formula units; calculated volume = 24.4 Å³ per atom; final energy = -5.469 eV/atom
1.0
-0.9564 2.1578 -2.3037
-2.5401 0.9028 1.9001
5.0870 6.3129 3.8011
Tb N Ac
2 1 1
direct
0.0000 0.0000 0.8416
0.0000 0.0000 0.1584
0.5000 0.5000 0.0000
0.5000 0.5000 0.5000

---

Record 3
Cs2UO5 (PBE, relaxed); formation energy (no corrections) = -1638 kJ/mol of formula units; calculated volume = 25.8 Å³ per atom; final energy = -6.845 eV/atom
1.0
4.4030 0.0000 0.0000
0.0000 6.8430 0.0000
0.0000 0.0000 6.8430
U O Cs
1 5 2
direct
0.0000 0.0000 0.0000
0.0000 0.7992 0.7992
0.0000 0.2008 0.2008
0.0000 0.2008 0.7992
0.5000 0.0000 0.0000
0.0000 0.7992 0.2008
0.5000 0.5000 0.0000
0.5000 0.0000 0.5000